NdGd2Ta2N6: optimized geometry, PBE.

Output
DFT total energy = -0.343 hartree per atom

Lattice parameters (Å, degrees): 4.030 4.030 19.359 90.00 90.00 90.00
Space group I4/mmm (No. 139)
One atom of each set of equivalent atoms:
1 Nd 0.000 0.000 0.000 (multiplicity 2)
2 Gd 0.000 0.000 0.179 (multiplicity 4)
3 Ta 0.000 0.000 0.397 (multiplicity 4)
4 N 0.000 0.000 0.297 (multiplicity 4)
5 N 0.000 0.500 0.086 (multiplicity 8)